(1)
Sm15Y4Ho PBE optimized geometry; formation enthalpy at 0 K = 0.015 eV per atom; D(E_F) = 1.38 states/eV per atom; size of the total moment = 0.000 Bohr magnetons per cell; total DFT energy (no corrections) = -100.922 eV for the cell shown; crystal system = tetragonal
1.0
-4.857 1.557 0.334
-1.043 -2.300 -4.444
-6.001 -21.400 12.482
Sm Y Ho
15 4 1
Direct
0.000 0.500 0.700
0.500 0.500 0.400
0.500 0.000 0.099
0.000 0.500 0.300
0.500 0.000 0.300
0.500 0.000 0.500
0.000 0.500 0.901
0.500 0.500 0.800
0.000 0.500 0.500
0.500 0.500 0.600
0.500 0.500 0.200
0.000 0.500 0.099
0.500 0.000 0.700
0.500 0.500 0.000
0.500 0.000 0.901
0.000 0.000 0.800
0.000 0.000 0.400
0.000 0.000 0.200
0.000 0.000 0.600
0.000 0.000 0.000

(2)
UPd2Pt5 PBE optimized geometry; formation enthalpy at 0 K = -0.449 eV per atom; relative energy among the computed polymorphs = 2 meV per atom; D(E_F) = 0.66 states/eV per atom; size of the total moment = 0.002 Bohr magnetons per cell; total DFT energy (no corrections) = -55.467 eV for the cell shown; crystal system = orthorhombic
1.0
4.476 0.752 -2.003
0.115 4.537 -2.003
-0.442 -0.509 6.946
Pt U Pd
5 1 2
Direct
0.875 0.375 0.749
0.500 0.500 0.000
0.125 0.625 0.251
0.375 0.875 0.749
0.625 0.125 0.251
0.000 0.000 0.000
0.249 0.249 0.497
0.751 0.751 0.503

(3)
Ca2Ac6Sm PBE optimized geometry; formation enthalpy at 0 K = 0.078 eV per atom; relative energy among the computed polymorphs = 0 meV per atom; D(E_F) = 1.88 states/eV per atom; size of the total moment = 0.007 Bohr magnetons per cell; total DFT energy (no corrections) = -32.670 eV for the cell shown; crystal system = hexagonal
1.0
-1.742 -3.437 0.738
1.328 0.791 -3.606
26.004 -11.675 7.017
Ac Ca Sm
6 2 1
Direct
0.333 0.667 0.785
0.667 0.333 0.896
0.667 0.333 0.104
0.333 0.667 0.436
0.333 0.667 0.215
0.333 0.667 0.564
0.667 0.333 0.673
0.667 0.333 0.327
0.333 0.667 0.000

(4)
Tb3Zn2In PBE optimized geometry; formation enthalpy at 0 K = -0.390 eV per atom; D(E_F) = 1.14 states/eV per atom; size of the total moment = 0.000 Bohr magnetons per cell; total DFT energy (no corrections) = -21.516 eV for the cell shown; crystal system = tetragonal
1.0
-0.573 -3.502 -0.499
2.101 0.069 -2.901
9.011 -2.395 6.469
Tb Zn In
3 2 1
Direct
0.000 0.000 0.686
0.000 0.000 0.000
0.000 0.000 0.314
0.500 0.500 0.846
0.500 0.500 0.154
0.500 0.500 0.500